4
Lattice="-1.5433 -3.1294 -3.4552 2.4595 -4.1725 -0.8089 -1.9766 -4.3053 1.2927" Properties=species:S:1:pos:R:3 comment="PBE-GGA CePuUOs, optimized geometry" ef_ev_per_atom=0.0843 space_group="F-43m (216)" pbc="T T T"
Pu -0.5302 -5.8036 -1.4857
U 0.0000 0.0000 0.0000
Os -0.2651 -2.9018 -0.7428
Ce -0.7953 -8.7054 -2.2285